This record from Alexandria via LeMat-Bulk describes an optimized crystal structure of CsYCl3. The functional is GGA-PBE.

```
CsYCl3
1.0
6.2782 -8.7349 0.0000
6.2782 8.7349 0.0000
-0.2031 0.0000 6.4185
Cs Y Cl
4 4 12
Cartesian
6.1258 7.0758 4.8139 Cs
6.2274 4.0785 1.6046 Cs
6.1258 -4.0785 4.8139 Cs
6.2274 -7.0758 1.6046 Cs
4.2262 1.1608 4.4109 Y
4.3278 -1.1608 1.2017 Y
8.0254 1.1608 5.2168 Y
8.1270 -1.1608 2.0076 Y
1.6262 1.4212 4.8737 Cl
4.4060 3.6881 4.7929 Cl
3.7597 1.4354 1.7908 Cl
1.7278 -1.4212 1.6645 Cl
3.6581 -1.4354 5.0001 Cl
7.8457 3.6881 4.8348 Cl
4.5076 -3.6881 1.5837 Cl
8.6951 1.4354 1.4184 Cl
10.6254 1.4212 4.7540 Cl
8.5936 -1.4354 4.6277 Cl
7.9472 -3.6881 1.6255 Cl
10.7270 -1.4212 1.5448 Cl
```

Computed properties:
DOS at the Fermi energy, states/eV/atom: 0.0000
Uncorrected formation energy, meV/atom: -1876
Space group: C2/c, No. 15
Final energy, eV/atom: -4.447